Record 1
Compound: Y3NiRh
Source: Alexandria via LeMat-Bulk
Functional: GGA-PBE
Structure: optimized geometry

Calculated values
Spin magnetization (μB/f.u.): 0.00
E above lowest polymorph (eV/atom): 0.557
Density of states at the Fermi level (states/eV/atom): 0.6560

a b c (Å): 5.085 5.085 5.085
angles (deg): 90.00 90.00 90.00
Atoms (fractional coordinates):
1 Y 0.000 0.500 0.000
2 Y 0.500 0.000 0.000
3 Y 0.000 0.000 0.500
4 Ni 0.000 0.000 0.000
5 Rh 0.500 0.500 0.500


Record 2
Compound: Y2NiRh
Source: Alexandria via LeMat-Bulk
Functional: GGA-PBE
Structure: optimized geometry

Calculated values
Spin magnetization (μB/f.u.): 0.00
Density of states at the Fermi level (states/eV/atom): 0.5566

a b c (Å): 5.835 5.835 5.835
angles (deg): 140.07 140.07 57.75
Atoms (fractional coordinates):
1 Y 0.000 0.000 0.000
2 Ni 0.500 0.500 0.000
3 Rh 0.750 0.250 0.500
4 Y 0.250 0.750 0.500


Record 3
Compound: YNi2Rh2
Source: Alexandria via LeMat-Bulk
Functional: GGA-PBE
Structure: optimized geometry

Calculated values
Spin magnetization (μB/f.u.): 0.00
E above lowest polymorph (eV/atom): 0.048
Density of states at the Fermi level (states/eV/atom): 1.2137

a b c (Å): 4.162 4.162 5.671
angles (deg): 68.47 68.47 90.00
Atoms (fractional coordinates):
1 Ni 0.750 0.250 0.500
2 Rh 0.376 0.376 0.248
3 Rh 0.624 0.624 0.752
4 Y 0.000 0.000 0.000
5 Ni 0.250 0.750 0.500


Record 4
Compound: Y8Ni2Rh
Source: Alexandria via LeMat-Bulk
Functional: GGA-PBE
Structure: optimized geometry

Calculated values
Spin magnetization (μB/f.u.): 0.00
Density of states at the Fermi level (states/eV/atom): 1.1841

a b c (Å): 5.983 7.488 7.488
angles (deg): 113.34 99.93 99.93
Atoms (fractional coordinates):
1 Y 0.382 0.924 0.665
2 Y 0.988 0.787 0.217
3 Y 0.988 0.217 0.787
4 Y 0.382 0.665 0.924
5 Ni 0.491 0.696 0.314
6 Y 0.581 0.081 0.342
7 Ni 0.491 0.314 0.696
8 Rh 0.137 0.002 0.002
9 Y 0.168 0.364 0.364
10 Y 0.810 0.642 0.642
11 Y 0.581 0.342 0.081


Going through the records in order, we get total energy values of -32.41 -27.63 -33.67 -72.95 eV for the cell shown.
Going through the records in order, we get energy of formation values of 0.023 -0.393 -0.187 -0.211 eV per atom.